1.
Crystalline Na4LiU3Te8 at its relaxed geometry, computed with PBE.

The structure in CIF format:
```
data_Na4LiU3Te8
_chemical_formula_sum 'Na12 Li3 U9 Te24'
_cell_length_a 8.8786
_cell_length_b 8.8786
_cell_length_c 22.4364
_cell_angle_alpha 90.00
_cell_angle_beta 90.00
_cell_angle_gamma 120.00
_symmetry_space_group_name_H-M 'R -3 m'
_symmetry_Int_Tables_number 166
_symmetry_space_group_name_Hall '-R 3 2"'
loop_
_atom_site_label
_atom_site_fract_x
_atom_site_fract_y
_atom_site_fract_z
Na1 0.0000 0.0000 0.0000
Na2 0.0000 0.5000 0.0000
Li1 0.0000 0.0000 0.5000
U1 0.0000 0.5000 0.5000
Te1 0.0000 0.0000 0.2456
Te2 0.0012 0.5006 0.7574
```

Values from the calculation:
ΔE_f (raw)   -0.821 eV per atom
Crystal system   trigonal
Energy   -4.958 eV/atom
N(E_F)   39.10 states/eV per cell

---

2.
Crystalline SrZrAu2 at its relaxed geometry, computed with PBE.

The structure in CIF format:
```
data_SrZrAu2
_chemical_formula_sum 'Sr2 Zr2 Au4'
_cell_length_a 3.521
_cell_length_b 4.907
_cell_length_c 10.995
_cell_angle_alpha 90.00
_cell_angle_beta 90.00
_cell_angle_gamma 90.00
_symmetry_space_group_name_H-M 'I m m 2'
_symmetry_Int_Tables_number 44
_symmetry_space_group_name_Hall 'I 2 -2'
loop_
_atom_site_label
_atom_site_fract_x
_atom_site_fract_y
_atom_site_fract_z
Sr1 0.000 0.000 0.000
Zr1 0.000 0.500 0.782
Au1 0.000 0.000 0.496
Au2 0.000 0.500 0.226
```

Values from the calculation:
Crystal system   orthorhombic
E above lowest polymorph   268 meV per atom
Energy   -4.472 eV/atom
N(E_F)   7.10 states/eV per cell
Formation energy   -0.28 eV/atom

---

3.
Crystalline UFe4Ge2 at its relaxed geometry, computed with PBE.

The structure in CIF format:
```
data_UFe4Ge2
_chemical_formula_sum 'U2 Fe8 Ge4'
_cell_length_a 7.058
_cell_length_b 7.058
_cell_length_c 4.049
_cell_angle_alpha 90.00
_cell_angle_beta 90.00
_cell_angle_gamma 90.00
_symmetry_space_group_name_H-M 'P 42/m n m'
_symmetry_Int_Tables_number 136
_symmetry_space_group_name_Hall '-P 4n 2n'
loop_
_atom_site_label
_atom_site_fract_x
_atom_site_fract_y
_atom_site_fract_z
U1 0.000 0.000 0.000
Fe1 0.106 0.365 0.500
Ge1 0.210 0.790 0.500
```

Values from the calculation:
Crystal system   tetragonal
E above lowest polymorph   0 meV per atom
Energy   -7.939 eV/atom
N(E_F)   14.27 states/eV per cell
Formation energy   -0.17 eV/atom

---

4.
Crystalline MnAlCr2In at its relaxed geometry, computed with PBE.

The structure in CIF format:
```
data_MnAlCr2In
_chemical_formula_sum 'Mn1 Al1 Cr2 In1'
_cell_length_a 4.394
_cell_length_b 4.394
_cell_length_c 4.924
_cell_angle_alpha 90.00
_cell_angle_beta 90.00
_cell_angle_gamma 90.00
_symmetry_space_group_name_H-M 'P 4/m m m'
_symmetry_Int_Tables_number 123
_symmetry_space_group_name_Hall '-P 4 2'
loop_
_atom_site_label
_atom_site_fract_x
_atom_site_fract_y
_atom_site_fract_z
Mn1 0.000 0.000 0.000
Al1 0.500 0.500 0.500
Cr1 0.000 0.500 0.000
In1 0.000 0.000 0.500
```

Values from the calculation:
Crystal system   tetragonal
Energy   -6.075 eV/atom
N(E_F)   4.77 states/eV per cell
Formation energy   0.90 eV/atom

---

5.
Crystalline SrRhCl2 at its relaxed geometry, computed with PBE.

The structure in CIF format:
```
data_SrRhCl2
_chemical_formula_sum 'Sr3 Rh3 Cl6'
_cell_length_a 4.5354
_cell_length_b 4.5354
_cell_length_c 14.5528
_cell_angle_alpha 90.00
_cell_angle_beta 90.00
_cell_angle_gamma 120.00
_symmetry_space_group_name_H-M 'R -3 m'
_symmetry_Int_Tables_number 166
_symmetry_space_group_name_Hall '-R 3 2"'
loop_
_atom_site_label
_atom_site_fract_x
_atom_site_fract_y
_atom_site_fract_z
Sr1 0.0000 0.0000 0.0000
Rh1 0.0000 0.0000 0.5000
Cl1 0.0000 0.0000 0.2335
```

Values from the calculation:
ΔE_f (raw)   -0.909 eV per atom
Crystal system   trigonal
E above lowest polymorph   110 meV per atom
Energy   -4.091 eV/atom
N(E_F)   8.11 states/eV per cell

---

6.
Crystalline La2SbBr at its relaxed geometry, computed with PBE.

The structure in CIF format:
```
data_La2SbBr
_chemical_formula_sum 'La4 Sb2 Br2'
_cell_length_a 4.233
_cell_length_b 4.269
_cell_length_c 14.629
_cell_angle_alpha 90.00
_cell_angle_beta 90.00
_cell_angle_gamma 90.00
_symmetry_space_group_name_H-M 'I m m 2'
_symmetry_Int_Tables_number 44
_symmetry_space_group_name_Hall 'I 2 -2'
loop_
_atom_site_label
_atom_site_fract_x
_atom_site_fract_y
_atom_site_fract_z
La1 0.000 0.000 0.000
La2 0.000 0.500 0.245
Sb1 0.000 0.500 0.662
Br1 0.000 0.000 0.416
```

Values from the calculation:
ΔE_f (raw)   -1.171 eV per atom
Crystal system   orthorhombic
Energy   -5.084 eV/atom
N(E_F)   6.44 states/eV per cell

---

7.
Crystalline Li2SnPb2 at its relaxed geometry, computed with PBE.

The structure in CIF format:
```
data_Li2SnPb2
_chemical_formula_sum 'Li4 Sn2 Pb4'
_cell_length_a 7.358
_cell_length_b 7.358
_cell_length_c 4.376
_cell_angle_alpha 90.00
_cell_angle_beta 90.00
_cell_angle_gamma 90.00
_symmetry_space_group_name_H-M 'P 4/m b m'
_symmetry_Int_Tables_number 127
_symmetry_space_group_name_Hall '-P 4 2ab'
loop_
_atom_site_label
_atom_site_fract_x
_atom_site_fract_y
_atom_site_fract_z
Li1 0.138 0.362 0.000
Sn1 0.000 0.000 0.000
Pb1 0.168 0.668 0.500
```

Values from the calculation:
Crystal system   tetragonal
E above lowest polymorph   0 meV per atom
Energy   -3.225 eV/atom
N(E_F)   3.69 states/eV per cell
Formation energy   -0.18 eV/atom

---

8.
Crystalline Nd2InS at its relaxed geometry, computed with PBE.

The structure in CIF format:
```
data_Nd2InS
_chemical_formula_sum 'Nd8 In4 S4'
_cell_length_a 4.099
_cell_length_b 23.959
_cell_length_c 4.444
_cell_angle_alpha 90.00
_cell_angle_beta 90.00
_cell_angle_gamma 90.00
_symmetry_space_group_name_H-M 'C m c m'
_symmetry_Int_Tables_number 63
_symmetry_space_group_name_Hall '-C 2c 2'
loop_
_atom_site_label
_atom_site_fract_x
_atom_site_fract_y
_atom_site_fract_z
Nd1 0.000 0.078 0.250
Nd2 0.000 0.310 0.250
In1 0.000 0.460 0.250
S1 0.000 0.194 0.250
```

Values from the calculation:
ΔE_f (raw)   -1.208 eV per atom
Crystal system   orthorhombic
E above lowest polymorph   0 meV per atom
Energy   -5.309 eV/atom
N(E_F)   8.67 states/eV per cell

---

9.
Crystalline TaAuSe2 at its relaxed geometry, computed with PBE.

The structure in CIF format:
```
data_TaAuSe2
_chemical_formula_sum 'Ta1 Au1 Se2'
_cell_length_a 2.939
_cell_length_b 4.928
_cell_length_c 5.319
_cell_angle_alpha 90.00
_cell_angle_beta 90.00
_cell_angle_gamma 90.00
_symmetry_space_group_name_H-M 'P m m m'
_symmetry_Int_Tables_number 47
_symmetry_space_group_name_Hall '-P 2 2'
loop_
_atom_site_label
_atom_site_fract_x
_atom_site_fract_y
_atom_site_fract_z
Ta1 0.000 0.000 0.000
Au1 0.500 0.000 0.500
Se1 0.000 0.500 0.241
```

Values from the calculation:
ΔE_f (raw)   0.266 eV per atom
Crystal system   orthorhombic
E above lowest polymorph   686 meV per atom
Energy   -5.259 eV/atom
N(E_F)   2.79 states/eV per cell

---

10.
Crystalline HgSeBr3 at its relaxed geometry, computed with PBE.

The structure in CIF format:
```
data_HgSeBr3
_chemical_formula_sum 'Hg2 Se2 Br6'
_cell_length_a 4.150
_cell_length_b 7.009
_cell_length_c 13.690
_cell_angle_alpha 85.48
_cell_angle_beta 88.91
_cell_angle_gamma 81.96
_symmetry_space_group_name_H-M 'P -1'
_symmetry_Int_Tables_number 2
_symmetry_space_group_name_Hall '-P 1'
loop_
_atom_site_label
_atom_site_fract_x
_atom_site_fract_y
_atom_site_fract_z
Hg1 0.155 0.006 0.144
Se1 0.189 0.619 0.496
Br1 0.129 0.242 0.927
Br2 0.138 0.147 0.614
Br3 0.478 0.224 0.223
```

Values from the calculation:
ΔE_f (raw)   -0.240 eV per atom
Crystal system   triclinic
E above lowest polymorph   0 meV per atom
Energy   -2.001 eV/atom

---

11.
Crystalline Ba2CuPO at its relaxed geometry, computed with PBE.

The structure in CIF format:
```
data_Ba2CuPO
_chemical_formula_sum 'Ba4 Cu2 P2 O2'
_cell_length_a 6.980
_cell_length_b 4.141
_cell_length_c 8.832
_cell_angle_alpha 90.00
_cell_angle_beta 107.91
_cell_angle_gamma 90.00
_symmetry_space_group_name_H-M 'P 1 21/m 1'
_symmetry_Int_Tables_number 11
_symmetry_space_group_name_Hall '-P 2yb'
loop_
_atom_site_label
_atom_site_fract_x
_atom_site_fract_y
_atom_site_fract_z
Ba1 0.204 0.250 0.389
Ba2 0.225 0.250 0.967
Cu1 0.483 0.750 0.253
P1 0.351 0.750 0.704
O1 0.168 0.750 0.167
```

Values from the calculation:
ΔE_f (raw)   -1.361 eV per atom
Crystal system   monoclinic
Energy   -5.022 eV/atom

---

12.
Crystalline In2Sb at its relaxed geometry, computed with PBE.

The structure in CIF format:
```
data_In2Sb
_chemical_formula_sum 'In4 Sb2'
_cell_length_a 6.891
_cell_length_b 5.753
_cell_length_c 4.495
_cell_angle_alpha 90.00
_cell_angle_beta 106.30
_cell_angle_gamma 90.00
_symmetry_space_group_name_H-M 'C 1 2/m 1'
_symmetry_Int_Tables_number 12
_symmetry_space_group_name_Hall '-C 2y'
loop_
_atom_site_label
_atom_site_fract_x
_atom_site_fract_y
_atom_site_fract_z
In1 0.168 0.000 0.325
Sb1 0.000 0.500 0.000
```

Values from the calculation:
ΔE_f (raw)   0.015 eV per atom
Crystal system   monoclinic
Energy   -3.185 eV/atom
N(E_F)   3.77 states/eV per cell

---

> Look up the energy of the fifth one.

-4.091 eV/atom

---

> Which of these has the highest energy?

HgSeBr3

---

> Look up the energy of the twelfth one.

-3.185 eV/atom